[1]
VASP calculation (PBE) on a relaxed structure of HgAs2Pt2.

```
HgAs2Pt2
1.0
-2.255 2.255 5.083
2.255 -2.255 5.083
2.255 2.255 -5.083
Hg As Pt
1 2 2
Cartesian
0.000 0.000 0.000
2.255 0.000 2.542
0.000 2.255 2.542
0.000 0.000 3.725
0.000 0.000 6.441
```

Summary:
Space group   I4/mmm
ΔE to the lowest computed polymorph   0.507 eV per formula unit
E_form   -0.02 eV per atom

---

[2]
VASP calculation (PBE) on a relaxed structure of Hg2AsPt.

```
Hg2AsPt
1.0
2.986 -4.268 0.000
2.986 4.268 0.000
0.000 0.000 3.077
Hg As Pt
2 1 1
Cartesian
1.493 2.134 0.000
1.493 -2.134 0.000
0.000 0.000 1.538
2.986 0.000 1.538
```

Summary:
Space group   Cmmm
E_form   0.26 eV per atom

---

[3]
VASP calculation (PBE) on a relaxed structure of HgAsPt2.

```
HgAsPt2
1.0
3.432 0.000 0.000
0.000 3.432 0.000
0.000 0.000 6.280
Hg As Pt
1 1 2
Cartesian
0.000 0.000 0.000
1.716 1.716 4.077
0.000 0.000 3.153
1.716 1.716 1.548
```

Summary:
Space group   P4mm
E_form   -0.03 eV per atom

---

[4]
VASP calculation (PBE) on a relaxed structure of Hg2AsPt.

```
Hg2AsPt
1.0
1.806 1.042 8.099
-1.806 1.042 8.099
0.000 -2.085 8.099
Hg As Pt
2 1 1
Cartesian
0.000 0.000 0.000
0.000 0.000 5.807
0.000 0.000 18.681
0.000 0.000 11.876
```

Summary:
Space group   R3m
E_form   -0.07 eV per atom

---

[5]
VASP calculation (PBE) on a relaxed structure of HgAs3Pt.

```
HgAs3Pt
1.0
4.975 0.000 0.000
0.000 4.975 0.000
0.000 0.000 4.975
Hg As Pt
1 3 1
Cartesian
0.000 0.000 0.000
0.000 2.488 2.488
2.488 0.000 2.488
2.488 2.488 0.000
2.488 2.488 2.488
```

Summary:
Space group   Pm-3m
ΔE to the lowest computed polymorph   0.000 eV per formula unit
E_form   0.57 eV per atom

---

[6]
VASP calculation (PBE) on a relaxed structure of HgAs2Pt.

```
HgAs2Pt
1.0
3.081 0.000 0.000
0.000 3.081 0.000
0.000 0.000 8.302
Hg As Pt
1 2 1
Cartesian
0.000 0.000 0.000
0.000 0.000 3.583
1.541 1.541 6.107
1.541 1.541 2.128
```

Summary:
Space group   P4mm
E_form   0.15 eV per atom

---

- Which of these has the highest E_form?
  HgAs3Pt

---

- E_form of number 5 (HgAs3Pt)?
  0.57 eV per atom

---

- Look up the E_form of the second one.
  0.26 eV per atom

---

- What is the E_form in the third record?
  -0.03 eV per atom